Material: Tm2Be7Au12
Method: DFT, PBE
State: optimized geometry

The structure in POSCAR format:
```
Tm2Be7Au12
1.0
9.933 0.000 0.000
-4.967 8.602 0.000
0.000 0.000 3.910
Tm Be Au
2 7 12
Direct
0.333 0.667 0.253
0.667 0.333 0.747
0.000 0.000 0.000
0.113 0.712 0.753
0.288 0.401 0.753
0.401 0.113 0.247
0.599 0.887 0.753
0.712 0.599 0.247
0.887 0.288 0.247
0.082 0.461 0.749
0.120 0.260 0.252
0.140 0.880 0.252
0.260 0.140 0.748
0.378 0.918 0.749
0.461 0.378 0.251
0.539 0.622 0.749
0.622 0.082 0.251
0.740 0.860 0.252
0.860 0.120 0.748
0.880 0.740 0.748
0.918 0.539 0.251
```

ΔH_f (0 K), meV per atom: -316
Energy, eV per atom: -3.8570
Fermi-level density of states, states/eV/f.u.: 4.876

***

Material: NdPa2ZnN4
Method: DFT, PBE
State: optimized geometry

The structure in POSCAR format:
```
NdPa2ZnN4
1.0
1.801 -5.852 0.000
1.801 5.852 0.000
0.000 0.000 11.504
Nd Pa Zn N
2 4 2 8
Direct
0.092 0.908 0.750
0.908 0.092 0.250
0.372 0.628 0.552
0.372 0.628 0.948
0.628 0.372 0.052
0.628 0.372 0.448
0.171 0.829 0.250
0.829 0.171 0.750
0.000 0.000 0.000
0.000 0.000 0.500
0.264 0.736 0.108
0.264 0.736 0.392
0.432 0.568 0.750
0.568 0.432 0.250
0.736 0.264 0.608
0.736 0.264 0.892
```

Formation energy from raw total energies, eV/atom: -1.116
Energy, eV per atom: -8.4080
Fermi-level density of states, states/eV/f.u.: 5.833

***

Material: TiAlTcRh
Method: DFT, PBE
State: optimized geometry

The structure in POSCAR format:
```
TiAlTcRh
1.0
0.000 3.064 3.064
3.064 0.000 3.064
3.064 3.064 0.000
Ti Al Tc Rh
1 1 1 1
Direct
0.000 0.000 0.000
0.500 0.500 0.500
0.750 0.750 0.750
0.250 0.250 0.250
```

ΔH_f (0 K), meV per atom: -731
Energy, eV per atom: -8.0694
Fermi-level density of states, states/eV/f.u.: 4.337

***

Material: DyInGaCu
Method: DFT, PBE
State: optimized geometry

The structure in POSCAR format:
```
DyInGaCu
1.0
0.000 3.423 3.423
3.423 0.000 3.423
3.423 3.423 0.000
Dy In Ga Cu
1 1 1 1
Direct
0.000 0.000 0.000
0.500 0.500 0.500
0.750 0.750 0.750
0.250 0.250 0.250
```

ΔH_f (0 K), meV per atom: -299
Energy, eV per atom: -3.9152
Fermi-level density of states, states/eV/f.u.: 0.852

***

Material: PaTlTe4Pd
Method: DFT, PBE
State: optimized geometry

The structure in POSCAR format:
```
PaTlTe4Pd
1.0
7.540 0.000 0.000
0.000 6.158 0.000
-3.028 0.000 9.371
Pa Tl Te Pd
2 2 8 2
Direct
0.220 0.250 0.441
0.780 0.750 0.559
0.257 0.250 0.952
0.743 0.750 0.048
0.048 0.750 0.860
0.061 0.750 0.381
0.477 0.502 0.294
0.477 0.998 0.294
0.523 0.002 0.706
0.523 0.498 0.706
0.939 0.250 0.619
0.952 0.250 0.140
0.220 0.750 0.658
0.780 0.250 0.342
```

Formation energy from raw total energies, eV/atom: -0.539
Energy, eV per atom: -4.7708
Fermi-level density of states, states/eV/f.u.: 4.698

***

Material: K3RbBi
Method: DFT, PBE
State: optimized geometry

The structure in POSCAR format:
```
K3RbBi
1.0
6.983 0.000 0.000
0.000 6.983 0.000
0.000 0.000 6.983
K Rb Bi
3 1 1
Direct
0.000 0.000 0.500
0.000 0.500 0.000
0.500 0.000 0.000
0.500 0.500 0.500
0.000 0.000 0.000
```

ΔH_f (0 K), meV per atom: -171
Energy, eV per atom: -1.7989
Fermi-level density of states, states/eV/f.u.: 6.343

***

Material: La2WAu
Method: DFT, PBE
State: optimized geometry

The structure in POSCAR format:
```
La2WAu
1.0
-2.222 2.222 4.894
2.222 -2.222 4.894
2.222 2.222 -4.894
La W Au
2 1 1
Direct
0.000 0.000 0.000
0.750 0.250 0.500
0.250 0.750 0.500
0.500 0.500 0.000
```

ΔH_f (0 K), meV per atom: 293
Energy, eV per atom: -6.2282
Fermi-level density of states, states/eV/f.u.: 4.638

***

Material: Tm8Co2As
Method: DFT, PBE
State: optimized geometry

The structure in POSCAR format:
```
Tm8Co2As
1.0
4.014 -6.084 0.000
4.014 6.084 0.000
-1.243 0.000 5.610
Tm Co As
8 2 1
Direct
0.069 0.339 0.617
0.238 0.762 0.000
0.339 0.069 0.617
0.373 0.373 0.207
0.627 0.627 0.793
0.661 0.931 0.383
0.762 0.238 0.000
0.931 0.661 0.383
0.313 0.687 0.500
0.687 0.313 0.500
0.000 0.000 0.000
```

ΔH_f (0 K), meV per atom: -251
Energy, eV per atom: -5.2172
Fermi-level density of states, states/eV/f.u.: 6.888

***

Material: AgPtCl2
Method: DFT, PBE
State: optimized geometry

The structure in POSCAR format:
```
AgPtCl2
1.0
1.918 1.107 7.693
-1.918 1.107 7.693
0.000 -2.215 7.693
Ag Pt Cl
1 1 2
Direct
0.000 0.000 0.000
0.500 0.500 0.500
0.107 0.107 0.107
0.893 0.893 0.893
```

Formation energy from raw total energies, eV/atom: 0.260
Energy, eV per atom: -2.8866
Fermi-level density of states, states/eV/f.u.: 3.401

***

Material: Cr2InGa
Method: DFT, PBE
State: optimized geometry

The structure in POSCAR format:
```
Cr2InGa
1.0
0.000 3.171 3.171
3.171 0.000 3.171
3.171 3.171 0.000
Cr In Ga
2 1 1
Direct
0.250 0.250 0.250
0.750 0.750 0.750
0.000 0.000 0.000
0.500 0.500 0.500
```

ΔH_f (0 K), meV per atom: 303
Energy, eV per atom: -5.9495
Fermi-level density of states, states/eV/f.u.: 1.283

***

Material: Ca2Ce4Rh9
Method: DFT, PBE
State: optimized geometry

The structure in POSCAR format:
```
Ca2Ce4Rh9
1.0
4.553 0.000 0.000
-2.277 3.943 0.000
0.000 0.000 16.883
Ca Ce Rh
2 4 9
Direct
0.333 0.667 0.253
0.667 0.333 0.747
0.333 0.667 0.605
0.333 0.667 0.900
0.667 0.333 0.100
0.667 0.333 0.395
0.000 0.000 0.000
0.000 0.000 0.168
0.000 0.000 0.345
0.000 0.000 0.655
0.000 0.000 0.832
0.333 0.667 0.079
0.333 0.667 0.436
0.667 0.333 0.564
0.667 0.333 0.921
```

ΔH_f (0 K), meV per atom: -554
Energy, eV per atom: -6.8144
Fermi-level density of states, states/eV/f.u.: 9.273

***

Material: UF4
Method: DFT, PBE
State: optimized geometry

The structure in POSCAR format:
```
UF4
1.0
6.431 -5.432 0.000
6.431 5.432 0.000
-4.982 0.000 6.787
U F
6 24
Direct
0.213 0.787 0.750
0.224 0.368 0.169
0.368 0.224 0.669
0.632 0.776 0.331
0.776 0.632 0.831
0.787 0.213 0.250
0.000 0.500 0.000
0.027 0.725 0.848
0.067 0.175 0.455
0.175 0.067 0.955
0.190 0.600 0.428
0.256 0.502 0.711
0.261 0.322 0.895
0.275 0.973 0.652
0.322 0.261 0.395
0.398 0.602 0.250
0.400 0.810 0.072
0.498 0.744 0.789
0.500 0.000 0.500
0.502 0.256 0.211
0.600 0.190 0.928
0.602 0.398 0.750
0.678 0.739 0.605
0.725 0.027 0.348
0.739 0.678 0.105
0.744 0.498 0.289
0.810 0.400 0.572
0.825 0.933 0.045
0.933 0.825 0.545
0.973 0.275 0.152
```

Formation energy from raw total energies, eV/atom: -3.614
Energy, eV per atom: -7.3682
Fermi-level density of states, states/eV/f.u.: 6.745